## Tl2ReSi (PBE)

Data for Tl2ReSi after structural relaxation.

The structure in CIF format:
```
data_Tl2ReSi
_space_group_name_H-M_alt 'P 1 m 1'
_space_group_IT_number 6
_space_group_name_Hall 'P -2y'
_cell_length_a 3.157
_cell_length_b 3.251
_cell_length_c 8.954
_cell_angle_alpha 90.00
_cell_angle_beta 99.82
_cell_angle_gamma 90.00
loop_
_atom_site_label
_atom_site_type_symbol
_atom_site_fract_x
_atom_site_fract_y
_atom_site_fract_z
Tl1 Tl 0.000 0.000 0.000
Tl2 Tl 0.261 0.500 0.370
Re1 Re 0.869 0.000 0.625
Si1 Si 0.420 0.500 0.730
```

Properties
- Total energy: -5.2976 eV/atom
- Raw formation energy: 0.35 eV per atom
- Total magnetization: 0.00 μB per cell

## La6Tb2PmSm (PBE)

Data for La6Tb2PmSm after structural relaxation.

The structure in CIF format:
```
data_La6Tb2PmSm
_space_group_name_H-M_alt 'C 1 2/m 1'
_space_group_IT_number 12
_space_group_name_Hall '-C 2y'
_cell_length_a 11.378
_cell_length_b 7.211
_cell_length_c 9.021
_cell_angle_alpha 90.00
_cell_angle_beta 103.54
_cell_angle_gamma 90.00
loop_
_atom_site_label
_atom_site_type_symbol
_atom_site_fract_x
_atom_site_fract_y
_atom_site_fract_z
La1 La 0.136 0.000 0.432
La2 La 0.180 0.276 0.801
Tb1 Tb 0.090 0.500 0.162
Pm1 Pm 0.000 0.000 0.000
Sm1 Sm 0.000 0.500 0.500
```

Properties
- Total energy: -4.6421 eV/atom
- DFT formation energy: 0.187 eV per atom
- Total magnetization: 0.00 μB per cell

## Er5TmPd6 (PBE)

Data for Er5TmPd6 after structural relaxation.

The structure in CIF format:
```
data_Er5TmPd6
_space_group_name_H-M_alt 'C m m m'
_space_group_IT_number 65
_space_group_name_Hall '-C 2 2'
_cell_length_a 4.967
_cell_length_b 14.831
_cell_length_c 6.834
_cell_angle_alpha 90.00
_cell_angle_beta 90.00
_cell_angle_gamma 90.00
loop_
_atom_site_label
_atom_site_type_symbol
_atom_site_fract_x
_atom_site_fract_y
_atom_site_fract_z
Er1 Er 0.000 0.000 0.000
Er2 Er 0.000 0.333 0.000
Er3 Er 0.000 0.333 0.500
Tm1 Tm 0.000 0.000 0.500
Pd1 Pd 0.000 0.166 0.251
Pd2 Pd 0.000 0.500 0.251
```

Properties
- Total energy: -5.7938 eV/atom
- DFT formation energy: -0.924 eV per atom
- Total magnetization: 0.00 μB per cell

## Rb2NaAu (PBE)

Data for Rb2NaAu after structural relaxation.

The structure in CIF format:
```
data_Rb2NaAu
_space_group_name_H-M_alt 'P 4/m m m'
_space_group_IT_number 123
_space_group_name_Hall '-P 4 2'
_cell_length_a 6.075
_cell_length_b 6.075
_cell_length_c 4.740
_cell_angle_alpha 90.00
_cell_angle_beta 90.00
_cell_angle_gamma 90.00
loop_
_atom_site_label
_atom_site_type_symbol
_atom_site_fract_x
_atom_site_fract_y
_atom_site_fract_z
Rb1 Rb 0.000 0.500 0.000
Na1 Na 0.000 0.000 0.500
Au1 Au 0.500 0.500 0.500
```

Properties
- Total energy: -1.7044 eV/atom
- DFT formation energy: -0.072 eV per atom
- Total magnetization: 0.00 μB per cell

## MgSn3Pd (PBE)

Data for MgSn3Pd after structural relaxation.

The structure in CIF format:
```
data_MgSn3Pd
_space_group_name_H-M_alt 'C 1 2/m 1'
_space_group_IT_number 12
_space_group_name_Hall '-C 2y'
_cell_length_a 10.348
_cell_length_b 8.718
_cell_length_c 6.653
_cell_angle_alpha 90.00
_cell_angle_beta 126.23
_cell_angle_gamma 90.00
loop_
_atom_site_label
_atom_site_type_symbol
_atom_site_fract_x
_atom_site_fract_y
_atom_site_fract_z
Mg1 Mg 0.057 0.000 0.262
Sn1 Sn 0.079 0.500 0.333
Sn2 Sn 0.198 0.201 0.732
Pd1 Pd 0.246 0.500 0.880
```

Properties
- Total energy: -4.0184 eV/atom
- DFT formation energy: -0.259 eV per atom
- Total magnetization: 0.00 μB per cell

## MnCo3C (PBE)

Data for MnCo3C after structural relaxation.

The structure in CIF format:
```
data_MnCo3C
_space_group_name_H-M_alt 'P m -3 m'
_space_group_IT_number 221
_space_group_name_Hall '-P 4 2 3'
_cell_length_a 3.753
_cell_length_b 3.753
_cell_length_c 3.753
_cell_angle_alpha 90.00
_cell_angle_beta 90.00
_cell_angle_gamma 90.00
loop_
_atom_site_label
_atom_site_type_symbol
_atom_site_fract_x
_atom_site_fract_y
_atom_site_fract_z
Mn1 Mn 0.000 0.000 0.000
Co1 Co 0.000 0.500 0.500
C1 C 0.500 0.500 0.500
```

Properties
- Total energy: -7.8783 eV/atom
- DFT formation energy: 0.064 eV per atom
- Total magnetization: 6.13 μB per cell

## NaBrN3 (PBE)

Data for NaBrN3 after structural relaxation.

The structure in CIF format:
```
data_NaBrN3
_space_group_name_H-M_alt 'P m -3 m'
_space_group_IT_number 221
_space_group_name_Hall '-P 4 2 3'
_cell_length_a 4.046
_cell_length_b 4.046
_cell_length_c 4.046
_cell_angle_alpha 90.00
_cell_angle_beta 90.00
_cell_angle_gamma 90.00
loop_
_atom_site_label
_atom_site_type_symbol
_atom_site_fract_x
_atom_site_fract_y
_atom_site_fract_z
Na1 Na 0.000 0.000 0.000
Br1 Br 0.500 0.500 0.500
N1 N 0.000 0.500 0.500
```

Properties
- Total energy: -3.3179 eV/atom
- Raw formation energy: 2.28 eV per atom
- Total magnetization: 2.99 μB per cell

## Rb14Tb2O9 (PBE)

Data for Rb14Tb2O9 after structural relaxation.

The structure in CIF format:
```
data_Rb14Tb2O9
_space_group_name_H-M_alt 'P -3'
_space_group_IT_number 147
_space_group_name_Hall '-P 3'
_cell_length_a 8.2945
_cell_length_b 8.2945
_cell_length_c 11.6843
_cell_angle_alpha 90.00
_cell_angle_beta 90.00
_cell_angle_gamma 120.00
loop_
_atom_site_label
_atom_site_type_symbol
_atom_site_fract_x
_atom_site_fract_y
_atom_site_fract_z
Rb1 Rb 0.0000 0.0000 0.2494
Rb2 Rb 0.0203 0.6660 0.4050
Rb3 Rb 0.0973 0.3894 0.0925
Tb1 Tb 0.3333 0.6667 0.7835
O1 O 0.0000 0.0000 0.5000
O2 O 0.1184 0.3882 0.8443
O3 O 0.3333 0.6667 0.5972
```

Properties
- Total energy: -4.0443 eV/atom
- Raw formation energy: -1.35 eV per atom
- Total magnetization: 1.45 μB per cell

What is the formula in the third record? Er5TmPd6